Record 1
Material: Ta6Fe5Os
Method: DFT, PBE
State: relaxed

```
Ta6Fe5Os
1.0
4.2868 0.0018 -0.8939
-0.0027 6.1889 -0.0006
-0.8037 0.0004 6.8644
Ta Fe Os
6 5 1
Direct
0.1696 0.2523 0.3393
0.8304 0.7477 0.6607
0.1696 0.7477 0.3393
0.5000 0.7438 0.0000
0.5000 0.2562 0.0000
0.8304 0.2523 0.6607
0.3342 0.0000 0.6683
0.6658 0.5000 0.3318
0.6658 0.0000 0.3317
0.0000 0.5000 0.0000
0.3342 0.5000 0.6682
0.0000 0.0000 0.0000
```

## Properties
DFT total energy (eV per atom): -10.58
N(E_F) (states/eV per atom): 0.8228

Record 2
Material: TaFe4Os
Method: DFT, PBE
State: relaxed

```
TaFe4Os
1.0
4.7352 0.0000 0.0000
2.3676 4.1008 0.0000
2.3676 1.3669 3.8663
Ta Fe Os
1 4 1
Direct
0.0000 0.0000 0.0000
0.1251 0.6250 0.6250
0.6250 0.6250 0.1251
0.6250 0.1251 0.6250
0.6250 0.6250 0.6250
0.2500 0.2500 0.2500
```

## Properties
DFT total energy (eV per atom): -9.60
N(E_F) (states/eV per atom): 1.0109

Record 3
Material: TaFe3Os
Method: DFT, PBE
State: relaxed

```
TaFe3Os
1.0
4.3880 0.0000 0.0000
0.0000 4.3880 0.0000
0.0000 0.0000 4.3880
Fe Os Ta
3 1 1
Direct
0.0000 0.0000 0.5000
0.0000 0.5000 0.0000
0.5000 0.0000 0.0000
0.5000 0.5000 0.5000
0.0000 0.0000 0.0000
```

## Properties
Relative energy among the computed polymorphs (meV/atom): 410
DFT total energy (eV per atom): -7.76
N(E_F) (states/eV per atom): 0.9414

Record 4
Material: TaFeOs
Method: DFT, PBE
State: relaxed

```
TaFeOs
1.0
-5.1190 1.1464 -3.2051
-6.0837 0.1553 -0.8663
-0.6553 2.5148 0.7935
Os Fe Ta
1 1 1
Direct
0.3522 0.3522 0.6478
0.9865 0.9865 0.0135
0.6613 0.6613 0.3387
```

## Properties
DFT total energy (eV per atom): -10.52
N(E_F) (states/eV per atom): 0.9072

Record 5
Material: TaFeOs
Method: DFT, PBE
State: relaxed

```
TaFeOs
1.0
-4.8835 0.1055 -4.2978
-5.6025 -4.3426 1.3346
-5.8093 3.8909 1.7718
Fe Os Ta
6 6 6
Direct
0.0257 0.6846 0.4869
0.1972 0.3154 0.5131
0.0257 0.9869 0.1846
0.1972 0.0131 0.8154
0.4717 0.5000 0.5000
0.4717 0.0000 0.0000
0.8216 0.1982 0.6982
0.7181 0.8018 0.3018
0.8792 0.4003 0.9003
0.1799 0.5997 0.0997
0.2354 0.9444 0.4444
0.6241 0.0556 0.5556
0.5522 0.6696 0.7108
0.9326 0.7892 0.8304
0.3132 0.3402 0.8402
0.9326 0.3304 0.2892
0.5522 0.2108 0.1696
0.4936 0.6598 0.1598
```

## Properties
DFT total energy (eV per atom): -10.47
N(E_F) (states/eV per atom): 0.8719

Record 6
Material: TaFeOs
Method: DFT, PBE
State: relaxed

```
TaFeOs
1.0
-1.2775 2.8524 2.8168
-1.9511 -1.2417 3.5148
1.9541 0.3115 3.7131
Os Ta Fe
1 1 1
Direct
0.5000 0.5000 0.5000
0.7500 0.7500 0.7500
0.0000 0.0000 0.0000
```

## Properties
DFT total energy (eV per atom): -9.86
N(E_F) (states/eV per atom): 1.7068

> Among the records above, which one has the highest N(E_F)?

number 6

> Number 3 is which compound?

TaFe3Os